[1]
Computed, not measured: a relaxed Ca3AcPr crystal at the PBE level of DFT.

Geometry as POSCAR:
```
Ca3AcPr
1.0
9.0073 -3.0724 0.0000
9.0073 3.0724 0.0000
-1.6909 0.0000 7.3887
Ca Ac Pr
6 2 2
Cartesian
1.7029 0.0000 0.4447
3.7103 0.0000 6.6359
4.5924 0.0000 2.9892
11.7313 0.0000 4.3995
12.6134 0.0000 0.7527
14.6208 0.0000 6.9439
8.5665 0.0000 1.9032
7.7572 0.0000 5.4855
0.7651 0.0000 4.1019
15.5586 0.0000 3.2868
```

Values from the calculation:
M_tot = 0.0000 μB/atom
Density of states at the Fermi level = 1.389 states/eV per atom
Raw total energy = -2.9209 eV per atom
ΔE_f = 0.058 eV per atom

---

[2]
Computed, not measured: a relaxed TlFeIr2 crystal at the PBE level of DFT.

Geometry as POSCAR:
```
TlFeIr2
1.0
-2.0638 2.0638 3.7498
2.0638 -2.0638 3.7498
2.0638 2.0638 -3.7498
Tl Fe Ir
1 1 2
Cartesian
0.0000 0.0000 0.0000
0.0000 0.0000 3.7498
2.0638 0.0000 1.8749
0.0000 2.0638 1.8749
```

Values from the calculation:
M_tot = 1.0028 μB/atom
Density of states at the Fermi level = 0.633 states/eV per atom
Raw total energy = -6.7678 eV per atom
ΔE_f = 0.370 eV per atom

---

[3]
Computed, not measured: a relaxed CuTc2AgRu crystal at the PBE level of DFT.

Geometry as POSCAR:
```
CuTc2AgRu
1.0
4.4791 0.0000 0.0000
0.0000 4.4791 0.0000
0.0000 0.0000 4.4969
Cu Tc Ag Ru
1 2 1 1
Cartesian
0.0000 0.0000 0.0000
0.0000 2.2395 0.0000
2.2395 0.0000 0.0000
0.0000 0.0000 2.2484
2.2395 2.2395 2.2484
```

Values from the calculation:
M_tot = 0.7576 μB/atom
Density of states at the Fermi level = 1.599 states/eV per atom
Raw total energy = -5.5849 eV per atom
ΔE_f = 1.806 eV per atom

---

[4]
Computed, not measured: a relaxed Rh2W crystal at the PBE level of DFT.

Geometry as POSCAR:
```
Rh2W
1.0
-1.9490 1.9490 11.5995
1.9490 -1.9490 11.5995
1.9490 1.9490 -11.5995
Rh W
8 4
Cartesian
1.9490 -0.9745 6.7634
1.9490 0.9745 -2.9428
1.9490 -0.9745 10.6359
0.0000 0.9745 2.8569
1.9490 0.9745 8.7426
0.0000 2.9236 0.9636
0.0000 0.9745 14.5424
0.0000 2.9236 4.8362
1.9490 0.9745 0.9714
1.9490 0.9745 4.8284
0.0000 0.9745 6.7712
0.0000 0.9745 10.6281
```

Values from the calculation:
M_tot = 0.0000 μB/atom
Density of states at the Fermi level = 0.644 states/eV per atom
Raw total energy = -9.4050 eV per atom
ΔE_f = -0.186 eV per atom

---

[5]
Computed, not measured: a relaxed GeBiSe2I crystal at the PBE level of DFT.

Geometry as POSCAR:
```
GeBiSe2I
1.0
7.6117 0.0000 0.0000
0.0000 4.1179 0.0000
-0.9761 0.0000 12.3384
Ge Bi Se I
2 2 4 2
Cartesian
0.3728 1.0295 1.3906
6.2628 3.0884 10.9478
1.2325 1.0295 6.2273
5.4031 3.0884 6.1112
0.0680 3.0884 7.8279
0.2570 1.0295 11.2966
6.3786 3.0884 1.0419
6.5676 1.0295 4.5105
2.7172 3.0884 4.1505
3.9184 1.0295 8.1880
```

Values from the calculation:
E_form (uncorrected) = -0.30 eV/atom
M_tot = 0.0000 μB/atom
Density of states at the Fermi level = 0.171 states/eV per atom
Raw total energy = -3.7058 eV per atom

---

[6]
Computed, not measured: a relaxed PmY2Cu crystal at the PBE level of DFT.

Geometry as POSCAR:
```
PmY2Cu
1.0
5.0156 0.0000 0.0000
0.0000 7.4715 0.0000
-2.5066 0.0000 5.9249
Pm Y Cu
2 4 2
Cartesian
-0.0005 1.8679 0.5385
2.5096 5.6036 5.3863
0.0017 0.2121 4.1528
0.0017 3.5236 4.1528
2.5073 3.9479 1.7720
2.5073 7.2594 1.7720
-0.0077 5.6036 2.3377
2.5167 1.8679 3.5871
```

Values from the calculation:
M_tot = 0.0000 μB/atom
Density of states at the Fermi level = 1.401 states/eV per atom
Raw total energy = -5.5064 eV per atom
ΔE_f = -0.063 eV per atom